Here is a relaxed structure of SrLiNiP2 from Alexandria. Energies are from PBE.

The structure in extended XYZ format:
```
10
Lattice="5.210 0.000 0.000 0.000 5.902 0.000 0.000 0.000 5.840" Properties=species:S:1:pos:R:3 pbc="T T T"
Sr 1.302 0.000 1.358
Sr 3.907 0.000 4.482
Li 1.302 2.951 2.238
Li 3.907 2.951 3.602
Ni 0.000 2.951 0.000
Ni 2.605 2.951 0.000
P 1.302 1.744 4.424
P 1.302 4.158 4.424
P 3.907 1.744 1.416
P 3.907 4.158 1.416
```

Values from the calculation:
calculated formation energy: -0.69 eV per atom